Entry 1:
DFT (PBE-GGA) results for crystalline LiPr2MnGe6 at its relaxed geometry.

Lattice parameters (Å, degrees): 6.208 6.208 12.540 75.67 75.67 60.00
Each line ends with the local moment (μB).
Atoms (fractional coordinates):
1 Ge 0.928 0.338 0.397  -0.02
2 Ge 0.341 0.772 0.115  -0.03
3 Ge 0.662 0.662 0.603  -0.02
4 Ge 0.338 0.338 0.397  -0.02
5 Pr 0.112 0.112 0.664  -0.01
6 Li 0.572 0.572 0.283  -0.01
7 Ge 0.228 0.228 0.885  -0.03
8 Ge 0.228 0.659 0.885  -0.03
9 Pr 0.287 0.287 0.138  -0.02
10 Ge 0.772 0.341 0.115  -0.03
11 Ge 0.072 0.662 0.603  -0.02
12 Ge 0.659 0.228 0.885  -0.03
13 Mn 0.500 0.500 0.500  1.92
14 Mn 0.000 0.000 0.000  2.34
15 Pr 0.888 0.888 0.336  -0.01
16 Li 0.428 0.428 0.717  -0.01
17 Ge 0.662 0.072 0.603  -0.02
18 Ge 0.338 0.928 0.397  -0.02
19 Pr 0.713 0.713 0.862  -0.02
20 Ge 0.772 0.772 0.115  -0.03

Values from the calculation:
**Uncorrected energy**: -5.19 eV/atom
**V**: 401.07 Å³/cell

=====

Entry 2:
DFT (PBE-GGA) results for crystalline Li2MnGe3Pt4 at its relaxed geometry.

Lattice parameters (Å, degrees): 3.977 3.977 11.179 90.00 90.00 90.00
Each line ends with the local moment (μB).
Atoms (fractional coordinates):
1 Pt 0.000 0.500 0.355  0.11
2 Pt 0.000 0.000 0.000  -0.01
3 Li 0.500 0.000 0.259  0.00
4 Pt 0.500 0.500 0.000  -0.01
5 Ge 0.000 0.000 0.500  -0.04
6 Ge 0.000 0.500 0.140  -0.01
7 Ge 0.500 0.000 0.860  -0.01
8 Mn 0.500 0.500 0.500  3.72
9 Pt 0.500 0.000 0.645  0.11
10 Li 0.000 0.500 0.741  0.00

Values from the calculation:
**Uncorrected energy**: -5.57 eV/atom
**V**: 176.82 Å³/cell

=====

> What is the V in the first record?

401.07 Å³/cell